# GGA-PBE ScGaP, relaxed
# Formation energy = -64.7 kJ/mol of atoms
# VASP energy = -100.68 eV for the cell shown
data_ScGaP
_chemical_formula_sum 'Sc6 Ga6 P6'
_cell_length_a 4.4264
_cell_length_b 4.4264
_cell_length_c 22.7028
_cell_angle_alpha 90.00
_cell_angle_beta 90.00
_cell_angle_gamma 120.00
_space_group_name_H-M_alt 'R -3 m'
_space_group_IT_number 166
_space_group_name_Hall '-R 3 2"'
loop_
_atom_site_label
_atom_site_type_symbol
_atom_site_fract_x
_atom_site_fract_y
_atom_site_fract_z
Sc1 Sc 0.0000 0.0000 0.1013
Ga1 Ga 0.0000 0.0000 0.3246
P1 P 0.0000 0.0000 0.2173